Below is a relaxed structure of PmDy2Pd, with properties calculated at the GGA-PBE level.

Output
Total moment, μB per formula unit: 0.00
Energy, eV/atom: -5.09
SG: No. 166
Energy relative to the elements, kJ/mol of atoms: -29

Cell and atoms, written as CIF:
```
data_PmDy2Pd
_chemical_formula_sum 'Pm1 Dy2 Pd1'
_cell_length_a 10.022
_cell_length_b 10.022
_cell_length_c 10.022
_cell_angle_alpha 21.29
_cell_angle_beta 21.29
_cell_angle_gamma 21.29
_symmetry_space_group_name_H-M 'P 1'
_symmetry_Int_Tables_number 1
loop_
_symmetry_equiv_pos_as_xyz
'x,y,z'
loop_
_atom_site_label
_atom_site_fract_x
_atom_site_fract_y
_atom_site_fract_z
Pm1 0.000 0.000 0.000
Dy1 0.231 0.231 0.231
Dy2 0.769 0.769 0.769
Pd1 0.500 0.500 0.500
```